{"formula": "Na3TbSc2S6", "functional": "PBE-GGA", "state": "relaxed", "lattice": [[3.334, -5.778, 0.000], [3.334, 5.778, 0.000], [-2.230, 0.000, 6.648]], "species": ["Na", "Na", "Na", "Tb", "Sc", "Sc", "S", "S", "S", "S", "S", "S"], "frac_coords": [[0.000, 0.000, 0.000], [0.335, 0.665, 0.000], [0.665, 0.335, 0.000], [0.500, 0.500, 0.500], [0.167, 0.833, 0.500], [0.833, 0.167, 0.500], [0.080, 0.427, 0.281], [0.227, 0.227, 0.720], [0.427, 0.080, 0.281], [0.573, 0.920, 0.719], [0.773, 0.773, 0.280], [0.920, 0.573, 0.719]], "space_group": "C2/m", "e_form_raw_ev_per_atom": -1.77, "n_ef_per_ev_fu": 0.0, "m_tot_mub_per_fu": 0.00}

***

{"formula": "Na3Tb2ScS6", "functional": "PBE-GGA", "state": "relaxed", "lattice": [[3.402, -5.894, 0.000], [3.402, 5.894, 0.000], [-2.273, 0.000, 6.670]], "species": ["Na", "Na", "Na", "Tb", "Tb", "Sc", "S", "S", "S", "S", "S", "S"], "frac_coords": [[0.000, 0.000, 0.000], [0.333, 0.667, 0.000], [0.667, 0.333, 0.000], [0.167, 0.833, 0.500], [0.833, 0.167, 0.500], [0.500, 0.500, 0.500], [0.105, 0.425, 0.276], [0.255, 0.255, 0.722], [0.425, 0.105, 0.276], [0.575, 0.895, 0.724], [0.745, 0.745, 0.278], [0.895, 0.575, 0.724]], "space_group": "C2/m", "e_form_raw_ev_per_atom": -1.80, "n_ef_per_ev_fu": 0.0, "m_tot_mub_per_fu": 0.00}

***

{"formula": "NaTbSc2S4", "functional": "PBE-GGA", "state": "relaxed", "lattice": [[6.581, 0.000, 0.000], [0.000, 3.778, 0.000], [-2.156, 0.000, 6.328]], "species": ["Na", "Tb", "Sc", "Sc", "S", "S", "S", "S"], "frac_coords": [[0.000, 0.000, 0.000], [0.500, 0.500, 0.000], [0.000, 0.500, 0.500], [0.500, 0.000, 0.500], [0.244, 0.000, 0.734], [0.259, 0.500, 0.270], [0.741, 0.500, 0.730], [0.756, 0.000, 0.266]], "space_group": "P2/m", "e_form_raw_ev_per_atom": -1.85, "n_ef_per_ev_fu": 2.9, "m_tot_mub_per_fu": 0.00}

***

{"formula": "Na2ScTcS", "functional": "PBE-GGA", "state": "relaxed", "lattice": [[5.030, 0.000, 0.000], [0.000, 5.030, 0.000], [0.000, 0.000, 4.456]], "species": ["Na", "Na", "Sc", "Tc", "S"], "frac_coords": [[0.000, 0.500, 0.000], [0.500, 0.000, 0.000], [0.000, 0.000, 0.500], [0.500, 0.500, 0.500], [0.500, 0.500, 0.000]], "space_group": "P4/mmm", "e_form_raw_ev_per_atom": 0.31, "n_ef_per_ev_fu": 3.7, "m_tot_mub_per_fu": 0.00}

***

{"formula": "Na3Sc3TeS8", "functional": "PBE-GGA", "state": "relaxed", "lattice": [[3.787, 2.186, 6.688], [-3.787, 2.186, 6.688], [0.000, -4.372, 6.688]], "species": ["Na", "Na", "Na", "Sc", "Sc", "Sc", "Te", "S", "S", "S", "S", "S", "S", "S", "S"], "frac_coords": [[0.000, 0.500, 0.500], [0.500, 0.000, 0.500], [0.500, 0.500, 0.000], [0.000, 0.000, 0.500], [0.000, 0.500, 0.000], [0.500, 0.000, 0.000], [0.500, 0.500, 0.500], [0.233, 0.742, 0.742], [0.238, 0.238, 0.238], [0.258, 0.258, 0.767], [0.258, 0.767, 0.258], [0.742, 0.233, 0.742], [0.742, 0.742, 0.233], [0.762, 0.762, 0.762], [0.767, 0.258, 0.258]], "space_group": "R-3m", "e_form_raw_ev_per_atom": -1.39, "n_ef_per_ev_fu": 0.0, "m_tot_mub_per_fu": 0.00}

***

{"formula": "Na2Sc2TeS6", "functional": "PBE-GGA", "state": "relaxed", "lattice": [[3.280, -5.697, 0.000], [3.280, 5.697, 0.000], [-2.117, 0.000, 6.776]], "species": ["Na", "Na", "Sc", "Sc", "Te", "S", "S", "S", "S", "S", "S"], "frac_coords": [[0.163, 0.837, 0.000], [0.837, 0.163, 0.000], [0.333, 0.667, 0.500], [0.667, 0.333, 0.500], [0.000, 0.000, 0.500], [0.067, 0.407, 0.713], [0.269, 0.269, 0.285], [0.407, 0.067, 0.713], [0.593, 0.933, 0.287], [0.731, 0.731, 0.715], [0.933, 0.593, 0.287]], "space_group": "C2/m", "e_form_raw_ev_per_atom": -1.24, "n_ef_per_ev_fu": 0.0, "m_tot_mub_per_fu": 0.00}

***

Copy entry 4 word for word.
{"formula": "Na2ScTcS", "functional": "PBE-GGA", "state": "relaxed", "lattice": [[5.030, 0.000, 0.000], [0.000, 5.030, 0.000], [0.000, 0.000, 4.456]], "species": ["Na", "Na", "Sc", "Tc", "S"], "frac_coords": [[0.000, 0.500, 0.000], [0.500, 0.000, 0.000], [0.000, 0.000, 0.500], [0.500, 0.500, 0.500], [0.500, 0.500, 0.000]], "space_group": "P4/mmm", "e_form_raw_ev_per_atom": 0.31, "n_ef_per_ev_fu": 3.7, "m_tot_mub_per_fu": 0.00}